Entry 1:
This record from Alexandria via LeMat-Bulk describes an optimized crystal structure of KFe2Au. The functional is PBE-GGA.

abc: 4.208 4.208 8.450
angles: 90.00 90.00 90.00
Fractional positions:
K 0.000 0.000 0.000
K 0.500 0.500 0.500
Fe 0.000 0.000 0.500
Fe 0.000 0.500 0.250
Fe 0.500 0.000 0.750
Fe 0.500 0.500 0.000
Au 0.000 0.500 0.750
Au 0.500 0.000 0.250

Computed properties:
Formation energy from the elements: 3.9 eV/f.u.
DOS at the Fermi energy: 5.63 states/eV/f.u.


Entry 2:
This record from Alexandria via LeMat-Bulk describes an optimized crystal structure of Sc3AlN. The functional is PBE-GGA.

abc: 4.183 4.183 7.776
angles: 90.00 90.00 90.00
Fractional positions:
Sc 0.000 0.000 0.000
Sc 0.000 0.500 0.657
Sc 0.500 0.000 0.657
Al 0.000 0.000 0.367
N 0.500 0.500 0.693

Computed properties:
DOS at the Fermi energy: 5.27 states/eV/f.u.
E_form (uncorrected): 0.093 eV per atom


Entry 3:
This record from Alexandria via LeMat-Bulk describes an optimized crystal structure of KAsOs2. The functional is PBE-GGA.

abc: 2.826 3.883 7.564
angles: 90.00 90.00 90.00
Fractional positions:
K 0.000 0.000 0.000
As 0.500 0.500 0.678
Os 0.000 0.000 0.484
Os 0.500 0.500 0.351

Computed properties:
Formation energy from the elements: 2.0 eV/f.u.
DOS at the Fermi energy: 2.79 states/eV/f.u.


Entry 4:
This record from Alexandria via LeMat-Bulk describes an optimized crystal structure of Li4SbPt4. The functional is PBE-GGA.

abc: 6.081 6.081 6.081
angles: 96.63 96.63 140.27
Fractional positions:
Li 0.177 0.177 0.353
Li 0.177 0.823 0.000
Li 0.823 0.177 0.000
Li 0.823 0.823 0.647
Sb 0.500 0.500 0.000
Pt 0.170 0.500 0.670
Pt 0.500 0.170 0.670
Pt 0.500 0.830 0.330
Pt 0.830 0.500 0.330

Computed properties:
DOS at the Fermi energy: 5.23 states/eV/f.u.
E_form (uncorrected): -0.534 eV per atom


Entry 5:
This record from Alexandria via LeMat-Bulk describes an optimized crystal structure of Pm2EuTm. The functional is PBE-GGA.

abc: 8.209 8.209 8.209
angles: 90.00 90.00 90.00
Fractional positions:
Pm 0.250 0.250 0.250
Pm 0.250 0.250 0.750
Pm 0.250 0.750 0.250
Pm 0.250 0.750 0.750
Pm 0.750 0.250 0.250
Pm 0.750 0.250 0.750
Pm 0.750 0.750 0.250
Pm 0.750 0.750 0.750
Eu 0.000 0.000 0.000
Eu 0.000 0.500 0.500
Eu 0.500 0.000 0.500
Eu 0.500 0.500 0.000
Tm 0.000 0.000 0.500
Tm 0.000 0.500 0.000
Tm 0.500 0.000 0.000
Tm 0.500 0.500 0.500

Computed properties:
Formation energy from the elements: 0.6 eV/f.u.
E above lowest polymorph: 97 meV/atom
DOS at the Fermi energy: 6.43 states/eV/f.u.


Entry 6:
This record from Alexandria via LeMat-Bulk describes an optimized crystal structure of CeBi3Pb2. The functional is PBE-GGA.

abc: 4.691 17.320 4.699
angles: 90.00 90.00 90.00
Fractional positions:
Ce 0.000 0.000 0.000
Ce 0.500 0.500 0.000
Bi 0.000 0.148 0.500
Bi 0.000 0.500 0.500
Bi 0.000 0.852 0.500
Bi 0.500 0.000 0.500
Bi 0.500 0.352 0.500
Bi 0.500 0.648 0.500
Pb 0.000 0.328 0.000
Pb 0.000 0.672 0.000
Pb 0.500 0.172 0.000
Pb 0.500 0.828 0.000

Computed properties:
Formation energy from the elements: -1.5 eV/f.u.
DOS at the Fermi energy: 7.25 states/eV/f.u.


Q: Among the records above, which one has the lowest DOS at the Fermi energy?
A: KAsOs2